Record 1
Density functional theory data (GGA-PBEsol) for an optimized crystal structure of InTc.

Lattice parameters (Å, degrees): 4.041 4.041 17.678 90.00 90.00 120.00
Element x y z (fractional)
In (0.000, 0.000, 0.106)
In (0.000, 0.000, 0.894)
In (0.333, 0.667, 0.560)
In (0.333, 0.667, 0.773)
In (0.667, 0.333, 0.227)
In (0.667, 0.333, 0.440)
Tc (0.000, 0.000, 0.344)
Tc (0.000, 0.000, 0.656)
Tc (0.333, 0.667, 0.010)
Tc (0.333, 0.667, 0.323)
Tc (0.667, 0.333, 0.677)
Tc (0.667, 0.333, 0.990)

Output
Fermi-level density of states   9.5 states/eV per cell
Symmetry   R-3m (166)
ΔE_f   0.99 eV/f.u.

Record 2
Density functional theory data (GGA-PBEsol) for an optimized crystal structure of CsSc3Cd.

Lattice parameters (Å, degrees): 5.469 5.469 5.469 90.00 90.00 90.00
Element x y z (fractional)
Cs (0.000, 0.000, 0.000)
Sc (0.000, 0.500, 0.500)
Sc (0.500, 0.000, 0.500)
Sc (0.500, 0.500, 0.000)
Cd (0.500, 0.500, 0.500)

Output
Fermi-level density of states   6.9 states/eV per cell
Symmetry   Pm-3m (221)
ΔE_f   3.10 eV/f.u.
Offset from the most stable computed form   0 meV per atom

Record 3
Density functional theory data (GGA-PBEsol) for an optimized crystal structure of Li4WAu.

Lattice parameters (Å, degrees): 4.847 4.847 4.847 60.00 60.00 60.00
Element x y z (fractional)
Li (0.125, 0.125, 0.125)
Li (0.125, 0.125, 0.625)
Li (0.125, 0.625, 0.125)
Li (0.625, 0.125, 0.125)
W (0.500, 0.500, 0.500)
Au (0.750, 0.750, 0.750)

Output
Fermi-level density of states   4.1 states/eV per cell
Symmetry   F-43m (216)
ΔE_f   2.80 eV/f.u.

Record 4
Density functional theory data (GGA-PBEsol) for an optimized crystal structure of SbAu3Se.

Lattice parameters (Å, degrees): 4.911 4.911 4.911 90.00 90.00 90.00
Element x y z (fractional)
Sb (0.000, 0.000, 0.000)
Au (0.000, 0.500, 0.500)
Au (0.500, 0.000, 0.500)
Au (0.500, 0.500, 0.000)
Se (0.500, 0.500, 0.500)

Output
Formation energy from raw total energies   649 meV per atom
Fermi-level density of states   4.3 states/eV per cell
Symmetry   Pm-3m (221)

Record 5
Density functional theory data (GGA-PBEsol) for an optimized crystal structure of Ba3BiC.

Lattice parameters (Å, degrees): 6.619 6.619 6.619 90.00 90.00 90.00
Element x y z (fractional)
Ba (0.000, 0.000, 0.500)
Ba (0.000, 0.500, 0.000)
Ba (0.500, 0.000, 0.000)
Bi (0.000, 0.000, 0.000)
C (0.500, 0.500, 0.500)

Output
Fermi-level density of states   5.1 states/eV per cell
Symmetry   Pm-3m (221)
ΔE_f   5.19 eV/f.u.

Record 6
Density functional theory data (GGA-PBEsol) for an optimized crystal structure of ScAgTe2.

Lattice parameters (Å, degrees): 3.810 3.810 27.085 90.00 90.00 120.00
Element x y z (fractional)
Sc (0.000, 0.000, 0.000)
Sc (0.333, 0.667, 0.667)
Sc (0.667, 0.333, 0.333)
Ag (0.000, 0.000, 0.500)
Ag (0.333, 0.667, 0.167)
Ag (0.667, 0.333, 0.833)
Te (0.000, 0.000, 0.102)
Te (0.000, 0.000, 0.898)
Te (0.333, 0.667, 0.565)
Te (0.333, 0.667, 0.768)
Te (0.667, 0.333, 0.232)
Te (0.667, 0.333, 0.435)

Output
Formation energy from raw total energies   66 meV per atom
Fermi-level density of states   10.6 states/eV per cell
Symmetry   R-3m (166)

Record 7
Density functional theory data (GGA-PBEsol) for an optimized crystal structure of Li5CoO4.

Lattice parameters (Å, degrees): 9.043 9.103 9.075 90.00 90.00 90.00
Element x y z (fractional)
Li (0.105, 0.149, 0.122)
Li (0.105, 0.351, 0.622)
Li (0.106, 0.656, 0.882)
Li (0.106, 0.844, 0.382)
Li (0.125, 0.618, 0.149)
Li (0.125, 0.882, 0.649)
Li (0.145, 0.110, 0.387)
Li (0.145, 0.390, 0.887)
Li (0.159, 0.618, 0.610)
Li (0.159, 0.882, 0.110)
Li (0.341, 0.118, 0.610)
Li (0.341, 0.382, 0.110)
Li (0.355, 0.610, 0.387)
Li (0.355, 0.890, 0.887)
Li (0.375, 0.118, 0.149)
Li (0.375, 0.382, 0.649)
Li (0.394, 0.156, 0.882)
Li (0.394, 0.344, 0.382)
Li (0.395, 0.649, 0.122)
Li (0.395, 0.851, 0.622)
Li (0.605, 0.149, 0.378)
Li (0.605, 0.351, 0.878)
Li (0.606, 0.656, 0.618)
Li (0.606, 0.844, 0.118)
Li (0.625, 0.618, 0.351)
Li (0.625, 0.882, 0.851)
Li (0.645, 0.110, 0.113)
Li (0.645, 0.390, 0.613)
Li (0.659, 0.618, 0.890)
Li (0.659, 0.882, 0.390)
Li (0.841, 0.118, 0.890)
Li (0.841, 0.382, 0.390)
Li (0.855, 0.610, 0.113)
Li (0.855, 0.890, 0.613)
Li (0.875, 0.118, 0.351)
Li (0.875, 0.382, 0.851)
Li (0.894, 0.156, 0.618)
Li (0.894, 0.344, 0.118)
Li (0.895, 0.649, 0.378)
Li (0.895, 0.851, 0.878)
Co (0.118, 0.115, 0.852)
Co (0.118, 0.385, 0.352)
Co (0.382, 0.615, 0.852)
Co (0.382, 0.885, 0.352)
Co (0.618, 0.115, 0.648)
Co (0.618, 0.385, 0.148)
Co (0.882, 0.615, 0.648)
Co (0.882, 0.885, 0.148)
O (0.000, 0.246, 0.966)
O (0.000, 0.254, 0.466)
O (0.000, 0.746, 0.534)
O (0.000, 0.754, 0.034)
O (0.018, 0.505, 0.749)
O (0.018, 0.995, 0.249)
O (0.242, 0.246, 0.752)
O (0.242, 0.254, 0.252)
O (0.245, 0.035, 0.993)
O (0.245, 0.465, 0.493)
O (0.255, 0.535, 0.993)
O (0.255, 0.965, 0.493)
O (0.258, 0.746, 0.752)
O (0.258, 0.754, 0.252)
O (0.482, 0.005, 0.749)
O (0.482, 0.495, 0.249)
O (0.500, 0.246, 0.534)
O (0.500, 0.254, 0.034)
O (0.500, 0.746, 0.966)
O (0.500, 0.754, 0.466)
O (0.518, 0.505, 0.751)
O (0.518, 0.995, 0.251)
O (0.742, 0.246, 0.748)
O (0.742, 0.254, 0.248)
O (0.745, 0.035, 0.507)
O (0.745, 0.465, 0.007)
O (0.755, 0.535, 0.507)
O (0.755, 0.965, 0.007)
O (0.758, 0.746, 0.748)
O (0.758, 0.754, 0.248)
O (0.982, 0.005, 0.751)
O (0.982, 0.495, 0.251)

Output
Formation energy from raw total energies   -1650 meV per atom
Fermi-level density of states   48.7 states/eV per cell
Symmetry   Pbca (61)
Offset from the most stable computed form   0 meV per atom

Record 8
Density functional theory data (GGA-PBEsol) for an optimized crystal structure of TePW2.

Lattice parameters (Å, degrees): 3.301 5.060 8.112 90.00 90.00 90.00
Element x y z (fractional)
Te (0.000, 0.000, 0.000)
Te (0.500, 0.500, 0.500)
P (0.000, 0.000, 0.500)
P (0.500, 0.500, 0.000)
W (0.000, 0.500, 0.203)
W (0.000, 0.500, 0.797)
W (0.500, 0.000, 0.297)
W (0.500, 0.000, 0.703)

Output
Formation energy from raw total energies   600 meV per atom
Fermi-level density of states   5.0 states/eV per cell
Symmetry   Immm (71)
Offset from the most stable computed form   366 meV per atom

Record 9
Density functional theory data (GGA-PBEsol) for an optimized crystal structure of Ba4GeAs4.

Lattice parameters (Å, degrees): 13.349 13.349 13.349 90.00 90.00 90.00
Element x y z (fractional)
Ba (0.097, 0.131, 0.644)
Ba (0.097, 0.869, 0.356)
Ba (0.131, 0.356, 0.903)
Ba (0.131, 0.644, 0.097)
Ba (0.143, 0.143, 0.143)
Ba (0.143, 0.857, 0.857)
Ba (0.144, 0.369, 0.403)
Ba (0.144, 0.631, 0.597)
Ba (0.356, 0.097, 0.869)
Ba (0.356, 0.903, 0.131)
Ba (0.357, 0.357, 0.643)
Ba (0.357, 0.643, 0.357)
Ba (0.369, 0.403, 0.144)
Ba (0.369, 0.597, 0.856)
Ba (0.403, 0.144, 0.369)
Ba (0.403, 0.856, 0.631)
Ba (0.597, 0.144, 0.631)
Ba (0.597, 0.856, 0.369)
Ba (0.631, 0.403, 0.856)
Ba (0.631, 0.597, 0.144)
Ba (0.643, 0.357, 0.357)
Ba (0.643, 0.643, 0.643)
Ba (0.644, 0.097, 0.131)
Ba (0.644, 0.903, 0.869)
Ba (0.856, 0.369, 0.597)
Ba (0.856, 0.631, 0.403)
Ba (0.857, 0.143, 0.857)
Ba (0.857, 0.857, 0.143)
Ba (0.869, 0.356, 0.097)
Ba (0.869, 0.644, 0.903)
Ba (0.903, 0.131, 0.356)
Ba (0.903, 0.869, 0.644)
Ge (0.000, 0.000, 0.000)
Ge (0.000, 0.500, 0.250)
Ge (0.000, 0.500, 0.750)
Ge (0.250, 0.000, 0.500)
Ge (0.500, 0.250, 0.000)
Ge (0.500, 0.500, 0.500)
Ge (0.500, 0.750, 0.000)
Ge (0.750, 0.000, 0.500)
As (0.106, 0.385, 0.649)
As (0.106, 0.615, 0.351)
As (0.107, 0.107, 0.893)
As (0.107, 0.893, 0.107)
As (0.115, 0.394, 0.149)
As (0.115, 0.606, 0.851)
As (0.149, 0.115, 0.394)
As (0.149, 0.885, 0.606)
As (0.351, 0.106, 0.615)
As (0.351, 0.894, 0.385)
As (0.385, 0.351, 0.894)
As (0.385, 0.649, 0.106)
As (0.393, 0.393, 0.393)
As (0.393, 0.607, 0.607)
As (0.394, 0.149, 0.115)
As (0.394, 0.851, 0.885)
As (0.606, 0.149, 0.885)
As (0.606, 0.851, 0.115)
As (0.607, 0.393, 0.607)
As (0.607, 0.607, 0.393)
As (0.615, 0.351, 0.106)
As (0.615, 0.649, 0.894)
As (0.649, 0.106, 0.385)
As (0.649, 0.894, 0.615)
As (0.851, 0.115, 0.606)
As (0.851, 0.885, 0.394)
As (0.885, 0.394, 0.851)
As (0.885, 0.606, 0.149)
As (0.893, 0.107, 0.107)
As (0.893, 0.893, 0.893)
As (0.894, 0.385, 0.351)
As (0.894, 0.615, 0.649)

Output
Symmetry   P-43n (218)
ΔE_f   -8.68 eV/f.u.

Record 10
Density functional theory data (GGA-PBEsol) for an optimized crystal structure of CuNi2.

Lattice parameters (Å, degrees): 3.490 10.435 3.497 90.00 90.00 90.00
Element x y z (fractional)
Cu (0.000, 0.084, 0.250)
Cu (0.000, 0.916, 0.750)
Cu (0.500, 0.416, 0.750)
Cu (0.500, 0.584, 0.250)
Ni (0.000, 0.250, 0.750)
Ni (0.000, 0.415, 0.250)
Ni (0.000, 0.585, 0.750)
Ni (0.000, 0.750, 0.250)
Ni (0.500, 0.085, 0.750)
Ni (0.500, 0.250, 0.250)
Ni (0.500, 0.750, 0.750)
Ni (0.500, 0.915, 0.250)

Output
Fermi-level density of states   19.6 states/eV per cell
Symmetry   Cmcm (63)
ΔE_f   0.12 eV/f.u.

Record 11
Density functional theory data (GGA-PBEsol) for an optimized crystal structure of FeCuPt2.

Lattice parameters (Å, degrees): 2.681 2.681 25.961 90.00 90.00 120.00
Element x y z (fractional)
Fe (0.000, 0.000, 0.000)
Fe (0.333, 0.667, 0.667)
Fe (0.667, 0.333, 0.333)
Cu (0.000, 0.000, 0.743)
Cu (0.333, 0.667, 0.410)
Cu (0.667, 0.333, 0.077)
Pt (0.000, 0.000, 0.253)
Pt (0.000, 0.000, 0.492)
Pt (0.333, 0.667, 0.159)
Pt (0.333, 0.667, 0.920)
Pt (0.667, 0.333, 0.586)
Pt (0.667, 0.333, 0.826)

Output
Fermi-level density of states   7.1 states/eV per cell
Symmetry   R3m (160)
ΔE_f   -0.12 eV/f.u.

Record 12
Density functional theory data (GGA-PBEsol) for an optimized crystal structure of Sc2SiIr.

Lattice parameters (Å, degrees): 3.251 4.215 5.320 90.00 107.70 90.00
Element x y z (fractional)
Sc (0.000, 0.000, 0.000)
Sc (0.300, 0.500, 0.603)
Si (0.581, 0.500, 0.161)
Ir (0.726, 0.000, 0.454)

Output
Formation energy from raw total energies   -883 meV per atom
Fermi-level density of states   3.1 states/eV per cell
Symmetry   Pm (6)

Record 13
Density functional theory data (GGA-PBEsol) for an optimized crystal structure of BaGa2Se4.

Lattice parameters (Å, degrees): 6.424 6.424 11.295 90.00 90.00 121.78
Element x y z (fractional)
Ba (0.000, 0.000, 0.250)
Ba (0.000, 0.000, 0.750)
Ga (0.257, 0.741, 0.000)
Ga (0.259, 0.743, 0.500)
Ga (0.741, 0.257, 0.500)
Ga (0.743, 0.259, 0.000)
Se (0.000, 0.500, 0.165)
Se (0.000, 0.500, 0.835)
Se (0.153, 0.324, 0.500)
Se (0.324, 0.153, 0.000)
Se (0.500, 0.000, 0.335)
Se (0.500, 0.000, 0.665)
Se (0.676, 0.847, 0.000)
Se (0.847, 0.676, 0.500)

Output
Formation energy from raw total energies   -1073 meV per atom
Fermi-level density of states   0.0 states/eV per cell
Symmetry   Cccm (66)

Record 14
Density functional theory data (GGA-PBEsol) for an optimized crystal structure of Ba2HfMgSb.

Lattice parameters (Å, degrees): 6.252 6.252 5.137 90.00 90.00 90.00
Element x y z (fractional)
Ba (0.000, 0.500, 0.000)
Ba (0.500, 0.000, 0.000)
Hf (0.000, 0.000, 0.500)
Mg (0.500, 0.500, 0.000)
Sb (0.500, 0.500, 0.500)

Output
Formation energy from raw total energies   792 meV per atom
Fermi-level density of states   8.2 states/eV per cell
Symmetry   P4/mmm (123)

Record 15
Density functional theory data (GGA-PBEsol) for an optimized crystal structure of ScNb2AgPt.

Lattice parameters (Å, degrees): 4.861 4.861 4.936 90.00 90.00 90.00
Element x y z (fractional)
Sc (0.000, 0.000, 0.000)
Nb (0.000, 0.500, 0.500)
Nb (0.500, 0.000, 0.500)
Ag (0.500, 0.500, 0.000)
Pt (0.000, 0.000, 0.500)

Output
Fermi-level density of states   6.5 states/eV per cell
Symmetry   P4/mmm (123)
ΔE_f   3.83 eV/f.u.

Record 16
Density functional theory data (GGA-PBEsol) for an optimized crystal structure of BeCoAg2.

Lattice parameters (Å, degrees): 3.799 3.799 3.636 90.00 90.00 90.00
Element x y z (fractional)
Be (0.000, 0.000, 0.000)
Co (0.500, 0.500, 0.000)
Ag (0.000, 0.500, 0.500)
Ag (0.500, 0.000, 0.500)

Output
Fermi-level density of states   2.6 states/eV per cell
Symmetry   P4/mmm (123)
ΔE_f   1.37 eV/f.u.

Record 17
Density functional theory data (GGA-PBEsol) for an optimized crystal structure of SnB3O.

Lattice parameters (Å, degrees): 4.410 4.410 4.410 90.00 90.00 90.00
Element x y z (fractional)
Sn (0.000, 0.000, 0.000)
B (0.000, 0.000, 0.500)
B (0.000, 0.500, 0.000)
B (0.500, 0.000, 0.000)
O (0.500, 0.500, 0.500)

Output
Formation energy from raw total energies   2590 meV per atom
Fermi-level density of states   2.8 states/eV per cell
Symmetry   Pm-3m (221)

Record 18
Density functional theory data (GGA-PBEsol) for an optimized crystal structure of TlInSe2.

Lattice parameters (Å, degrees): 4.120 4.079 14.338 90.00 90.00 90.00
Element x y z (fractional)
Tl (0.000, 0.000, 0.000)
Tl (0.000, 0.500, 0.500)
In (0.500, 0.000, 0.224)
In (0.500, 0.500, 0.724)
Se (0.000, 0.000, 0.333)
Se (0.000, 0.500, 0.833)
Se (0.500, 0.000, 0.608)
Se (0.500, 0.500, 0.108)

Output
Formation energy from raw total energies   -425 meV per atom
Fermi-level density of states   0.5 states/eV per cell
Symmetry   Amm2 (38)

Record 19
Density functional theory data (GGA-PBEsol) for an optimized crystal structure of Hg2WAu.

Lattice parameters (Å, degrees): 4.212 4.212 8.214 90.00 90.00 90.00
Element x y z (fractional)
Hg (0.000, 0.500, 0.250)
Hg (0.000, 0.500, 0.750)
Hg (0.500, 0.000, 0.250)
Hg (0.500, 0.000, 0.750)
W (0.000, 0.000, 0.000)
W (0.500, 0.500, 0.500)
Au (0.000, 0.000, 0.500)
Au (0.500, 0.500, 0.000)

Output
Fermi-level density of states   7.0 states/eV per cell
Symmetry   I4/mmm (139)
ΔE_f   3.26 eV/f.u.

Record 20
Density functional theory data (GGA-PBEsol) for an optimized crystal structure of AlBiAsPt2.

Lattice parameters (Å, degrees): 4.520 4.520 5.444 90.00 90.00 90.00
Element x y z (fractional)
Al (0.000, 0.000, 0.000)
Bi (0.000, 0.000, 0.500)
As (0.500, 0.500, 0.500)
Pt (0.000, 0.500, 0.000)
Pt (0.500, 0.000, 0.000)

Output
Fermi-level density of states   3.0 states/eV per cell
Symmetry   P4/mmm (123)
ΔE_f   3.19 eV/f.u.